A plane-wave DFT calculation with GGA-PBE was carried out for crystalline NaBeInPb2 at its relaxed geometry.

For the electronic total energy, the calculation gives -10.85 eV per cell. Its formation energy is 0.870 eV/atom. The magnetization is 0.00 μB per formula unit.

It has space group P4/mmm (No. 123), with a = 5.574 Å, b = 5.574 Å, c = 4.895 Å, α = 90.00°, β = 90.00° and γ = 90.00°. The asymmetric unit holds Na at (0.000, 0.000, 0.000), Be at (0.000, 0.000, 0.500), In at (0.500, 0.500, 0.500) and Pb at (0.000, 0.500, 0.000).